(1)
Material: LiSb2W
Method: DFT, PBE-GGA
State: relaxed

Unit cell a=3.6396 b=5.2959 c=8.6718 alpha=90.00 beta=90.00 gamma=90.00
Last column: nearest neighbours and their distance in Å.
Positions (direct):
Li (0.0000, 0.0000, 0.0000)  4 Sb 2.90, 4 Li 3.21
Li (0.5000, 0.5000, 0.0000)  4 Sb 2.90, 4 Li 3.21
Sb (0.0000, 0.5000, 0.2607)  2 W 2.76, 2 Li 2.90
Sb (0.0000, 0.5000, 0.7393)  2 W 2.76, 2 Li 2.90
Sb (0.5000, 0.0000, 0.2607)  2 W 2.76, 2 Li 2.90
Sb (0.5000, 0.0000, 0.7393)  2 W 2.76, 2 Li 2.90
W (0.0000, 0.0000, 0.5000)  4 Sb 2.76
W (0.5000, 0.5000, 0.5000)  4 Sb 2.76

Output
- relative energy among the computed polymorphs (meV/atom) = 229.6
- space group = Cmmm (65)
- ΔE_f (raw) (kcal/mol of atoms) = 7.26

---

(2)
Material: Pu6PdPt2
Method: DFT, PBE-GGA
State: relaxed

Unit cell a=7.7721 b=7.7721 c=4.2254 alpha=90.00 beta=90.00 gamma=120.00
Last column: nearest neighbours and their distance in Å.
Positions (direct):
Pu (0.0000, 0.4114, 0.0000)  4 Pt 3.16, 1 Pd 3.20, 6 Pu 3.30-3.51
Pu (0.0000, 0.7371, 0.5000)  2 Pt 2.90, 2 Pd 2.94
Pu (0.2629, 0.2629, 0.5000)  2 Pt 2.90, 2 Pd 2.94
Pu (0.4114, 0.0000, 0.0000)  4 Pt 3.16, 1 Pd 3.20, 6 Pu 3.30-3.51
Pu (0.5886, 0.5886, 0.0000)  4 Pt 3.16, 1 Pd 3.20, 6 Pu 3.30-3.51
Pu (0.7371, 0.0000, 0.5000)  2 Pt 2.90, 2 Pd 2.94
Pd (0.0000, 0.0000, 0.0000)  9 Pu 2.94-3.20
Pt (0.3333, 0.6667, 0.5000)  9 Pu 2.90-3.16
Pt (0.6667, 0.3333, 0.5000)  9 Pu 2.90-3.16

Output
- relative energy among the computed polymorphs (meV/atom) = 0.0
- space group = P-62m (189)
- energy of formation from the pure elements (eV/f.u.) = -3.640

---

(3)
Material: YZrP2S
Method: DFT, PBE-GGA
State: relaxed

Unit cell a=4.9759 b=4.9759 c=4.9007 alpha=90.00 beta=90.00 gamma=90.00
Last column: nearest neighbours and their distance in Å.
Positions (direct):
Y (0.0000, 0.0000, 0.0000)  8 P 3.49, 4 S 3.52
Zr (0.5000, 0.5000, 0.5000)  2 S 2.45, 4 P 2.49
P (0.0000, 0.5000, 0.5000)  2 Zr 2.49
P (0.5000, 0.0000, 0.5000)  2 Zr 2.49
S (0.5000, 0.5000, 0.0000)  2 Zr 2.45

Output
- relative energy among the computed polymorphs (meV/atom) = 0.0
- space group = P4/mmm (123)
- ΔE_f (raw) (kcal/mol of atoms) = -13.66

---

(4)
Material: CdP3Se
Method: DFT, PBE-GGA
State: relaxed

Unit cell a=4.8083 b=4.8083 c=4.8083 alpha=90.00 beta=90.00 gamma=90.00
Last column: nearest neighbours and their distance in Å.
Positions (direct):
Cd (0.0000, 0.0000, 0.0000)  12 P 3.40
P (0.0000, 0.5000, 0.5000)  2 Se 2.40
P (0.5000, 0.0000, 0.5000)  2 Se 2.40
P (0.5000, 0.5000, 0.0000)  2 Se 2.40
Se (0.5000, 0.5000, 0.5000)  6 P 2.40

Output
- relative energy among the computed polymorphs (meV/atom) = 0.0
- space group = Pm-3m (221)
- ΔE_f (raw) (kcal/mol of atoms) = 23.52

---

(5)
Material: Sc2NiGeCl
Method: DFT, PBE-GGA
State: relaxed

Unit cell a=5.1897 b=5.1897 c=4.2957 alpha=90.00 beta=90.00 gamma=90.00
Last column: nearest neighbours and their distance in Å.
Positions (direct):
Sc (0.0000, 0.5000, 0.0000)  2 Ge 2.59
Sc (0.5000, 0.0000, 0.0000)  2 Ge 2.59
Ni (0.0000, 0.0000, 0.5000)  2 Ge 2.15
Ge (0.0000, 0.0000, 0.0000)  2 Ni 2.15
Cl (0.5000, 0.5000, 0.5000)  8 Sc 3.37, 4 Ni 3.67

Output
- space group = P4/mmm (123)
- ΔE_f (raw) (kcal/mol of atoms) = -4.06

---

(6)
Material: YTh2Hg3
Method: DFT, PBE-GGA
State: relaxed

Unit cell a=3.4963 b=3.4963 c=13.1740 alpha=90.00 beta=90.00 gamma=90.00
Last column: nearest neighbours and their distance in Å.
Positions (direct):
Y (0.0000, 0.0000, 0.0000)  8 Hg 3.21, 4 Y 3.50
Th (0.0000, 0.0000, 0.3284)  8 Hg 3.35-3.36, 4 Th 3.50
Th (0.0000, 0.0000, 0.6716)  8 Hg 3.35-3.36, 4 Th 3.50
Hg (0.5000, 0.5000, 0.1552)  4 Y 3.21, 4 Th 3.36, 4 Hg 3.50
Hg (0.5000, 0.5000, 0.5000)  8 Th 3.35, 4 Hg 3.50
Hg (0.5000, 0.5000, 0.8448)  4 Y 3.21, 4 Th 3.36, 4 Hg 3.50

Output
- space group = P4/mmm (123)
- energy of formation from the pure elements (eV/f.u.) = -1.860

---

Number 1: uncorrected energy -5.463 eV/atom. Number 2: uncorrected energy -11.878 eV/atom. Number 3: uncorrected energy -6.584 eV/atom. Number 4: uncorrected energy -3.106 eV/atom. Number 5: uncorrected energy -5.158 eV/atom. Number 6: uncorrected energy -4.012 eV/atom.